# 1
The following is a DFT calculation (GGA-PBE) of a relaxed LiThGePd crystal.

Cell lengths 4.903, 4.903, 4.903 Å; angles 60.00, 60.00, 60.00 degrees
Positions (direct):
Li  0.000  0.000  0.000
Th  0.500  0.500  0.500
Ge  0.250  0.250  0.250
Pd  0.750  0.750  0.750

Space group = F-43m
Magnetic moment = 0.0 μB/cell
Crystal system = cubic
ΔE_f = -0.55 eV/atom
Final energy = -21.33 eV per formula unit

---

# 2
The following is a DFT calculation (GGA-PBE) of a relaxed Pm7PrGa5 crystal.

Cell lengths 8.086, 8.086, 8.086 Å; angles 132.73, 102.49, 96.03 degrees
Positions (direct):
Pm  0.000  0.000  0.000
Pm  0.302  0.635  0.667
Pm  0.340  0.340  0.000
Pm  0.423  0.111  0.312
Pm  0.800  0.111  0.688
Pm  0.861  0.361  0.500
Pm  0.968  0.635  0.333
Pr  0.677  0.677  0.000
Ga  0.114  0.102  0.474
Ga  0.114  0.640  0.012
Ga  0.379  0.879  0.500
Ga  0.628  0.102  0.988
Ga  0.628  0.640  0.526

Space group = Imm2
Magnetic moment = 0.0 μB/cell
Crystal system = orthorhombic
ΔE_f = -0.35 eV/atom
Final energy = -57.67 eV per formula unit

---

# 3
The following is a DFT calculation (GGA-PBE) of a relaxed UBiPt4 crystal.

Cell lengths 5.462, 5.462, 5.462 Å; angles 60.00, 60.00, 60.00 degrees
Positions (direct):
U  0.000  0.000  0.000
Bi  0.250  0.250  0.250
Pt  0.124  0.625  0.625
Pt  0.625  0.124  0.625
Pt  0.625  0.625  0.124
Pt  0.625  0.625  0.625

Space group = F-43m
Magnetic moment = 2.6 μB/cell
Crystal system = cubic
ΔE_f = -0.44 eV/atom
Final energy = -41.95 eV per formula unit

---

# 4
The following is a DFT calculation (GGA-PBE) of a relaxed KTi3S crystal.

Cell lengths 4.727, 4.727, 4.727 Å; angles 90.00, 90.00, 90.00 degrees
Positions (direct):
K  0.000  0.000  0.000
Ti  0.000  0.500  0.500
Ti  0.500  0.000  0.500
Ti  0.500  0.500  0.000
S  0.500  0.500  0.500

Formation energy (no corrections) = 0.231 eV/atom
Space group = Pm-3m
Magnetic moment = 0.0 μB/cell
Energy above the most stable polymorph in this dataset = 0.0 kJ per mole of atoms
Crystal system = cubic
Final energy = -27.75 eV per formula unit

---

# 5
The following is a DFT calculation (GGA-PBE) of a relaxed BiSbI2O crystal.

Cell lengths 6.281, 6.281, 4.261 Å; angles 90.00, 90.00, 90.00 degrees
Positions (direct):
Bi  0.000  0.000  0.000
Sb  0.500  0.500  0.500
I  0.000  0.500  0.000
I  0.500  0.000  0.000
O  0.000  0.000  0.500

Formation energy (no corrections) = 0.046 eV/atom
Space group = P4/mmm
Magnetic moment = 0.0 μB/cell
Energy above the most stable polymorph in this dataset = 15.5 kJ per mole of atoms
Crystal system = tetragonal
Final energy = -15.83 eV per formula unit

---

# 6
The following is a DFT calculation (GGA-PBE) of a relaxed Ac2TaCuS6 crystal.

Cell lengths 6.619, 6.619, 6.624 Å; angles 63.74, 63.90, 63.84 degrees
Positions (direct):
Ac  0.244  0.243  0.241
Ac  0.756  0.757  0.759
Ta  0.500  0.500  0.500
Cu  0.000  0.000  0.000
S  0.171  0.333  0.738
S  0.265  0.829  0.667
S  0.331  0.738  0.172
S  0.669  0.262  0.828
S  0.735  0.171  0.333
S  0.829  0.667  0.262

Formation energy (no corrections) = -1.383 eV/atom
Space group = P-1
Magnetic moment = 0.0 μB/cell
Crystal system = triclinic
Final energy = -62.76 eV per formula unit

---

# 7
The following is a DFT calculation (GGA-PBE) of a relaxed Be3Te crystal.

Cell lengths 3.404, 3.404, 4.859 Å; angles 90.00, 90.00, 90.00 degrees
Positions (direct):
Be  0.000  0.000  0.000
Be  0.500  0.500  0.218
Be  0.500  0.500  0.782
Te  0.000  0.000  0.500

Formation energy (no corrections) = 0.696 eV/atom
Space group = P4/mmm
Magnetic moment = 0.0 μB/cell
Energy above the most stable polymorph in this dataset = 47.3 kJ per mole of atoms
Crystal system = tetragonal
Final energy = -11.54 eV per formula unit

---

# 8
The following is a DFT calculation (GGA-PBE) of a relaxed BeMoPt2 crystal.

Cell lengths 4.640, 4.640, 4.806 Å; angles 98.28, 98.28, 34.45 degrees
Positions (direct):
Be  0.000  0.000  0.000
Mo  0.764  0.764  0.357
Pt  0.269  0.269  0.881
Pt  0.513  0.513  0.559

Space group = Cm
Magnetic moment = 0.0 μB/cell
Crystal system = monoclinic
ΔE_f = -0.27 eV/atom
Final energy = -27.70 eV per formula unit